1.
Computed, not measured: an optimized crystal structure of RbNa2GeO4 at the PBE level of DFT.

Cell lengths 5.845, 5.845, 7.948 Å; angles 90.00, 90.00, 90.00 degrees
Fractional positions:
Rb: 0.000 0.000 0.000
Rb: 0.500 0.500 0.500
Na: 0.000 0.500 0.250
Na: 0.000 0.500 0.750
Na: 0.500 0.000 0.250
Na: 0.500 0.000 0.750
Ge: 0.000 0.000 0.500
Ge: 0.500 0.500 0.000
O: 0.174 0.174 0.368
O: 0.174 0.826 0.632
O: 0.326 0.326 0.868
O: 0.326 0.674 0.132
O: 0.674 0.326 0.132
O: 0.674 0.674 0.868
O: 0.826 0.174 0.632
O: 0.826 0.826 0.368

Output
**Formation energy from raw total energies**: -1.513 eV per atom
**Calculated density**: 3.3 g/cm3
**DOS at the Fermi energy**: 14.66 states/eV per cell
**Magnetic moment**: 1.0 μB/f.u.
**VASP energy**: -5.02 eV/atom

2.
Computed, not measured: an optimized crystal structure of RbNaGeO3 at the PBE level of DFT.

Cell lengths 6.331, 6.331, 5.457 Å; angles 90.00, 90.00, 124.35 degrees
Fractional positions:
Rb: 0.236 0.764 0.750
Rb: 0.764 0.236 0.250
Na: 0.083 0.917 0.250
Na: 0.917 0.083 0.750
Ge: 0.449 0.551 0.250
Ge: 0.551 0.449 0.750
O: 0.290 0.290 0.000
O: 0.290 0.290 0.500
O: 0.292 0.708 0.250
O: 0.708 0.292 0.750
O: 0.710 0.710 0.000
O: 0.710 0.710 0.500

Output
**Formation energy from raw total energies**: -1.713 eV per atom
**Calculated density**: 4.2 g/cm3
**DOS at the Fermi energy**: 0.00 states/eV per cell
**Magnetic moment**: 0.0 μB/f.u.
**VASP energy**: -5.34 eV/atom

3.
Computed, not measured: an optimized crystal structure of Na4GeRh3O8 at the PBE level of DFT.

Cell lengths 6.387, 6.387, 6.387 Å; angles 59.12, 59.12, 59.12 degrees
Fractional positions:
Na: 0.000 0.000 0.000
Na: 0.000 0.500 0.500
Na: 0.500 0.000 0.500
Na: 0.500 0.500 0.000
Ge: 0.500 0.500 0.500
Rh: 0.000 0.000 0.500
Rh: 0.000 0.500 0.000
Rh: 0.500 0.000 0.000
O: 0.231 0.231 0.231
O: 0.258 0.720 0.720
O: 0.280 0.280 0.742
O: 0.280 0.742 0.280
O: 0.720 0.258 0.720
O: 0.720 0.720 0.258
O: 0.742 0.280 0.280
O: 0.769 0.769 0.769

Output
**Formation energy from raw total energies**: -1.213 eV per atom
**Calculated density**: 5.5 g/cm3
**DOS at the Fermi energy**: 2.88 states/eV per cell
**Magnetic moment**: 0.0 μB/f.u.
**VASP energy**: -5.69 eV/atom

4.
Computed, not measured: an optimized crystal structure of Na2GeRh2O6 at the PBE level of DFT.

Cell lengths 5.296, 5.296, 5.740 Å; angles 99.37, 99.37, 119.85 degrees
Fractional positions:
Na: 0.173 0.827 0.000
Na: 0.827 0.173 0.000
Ge: 0.000 0.000 0.500
Rh: 0.334 0.666 0.500
Rh: 0.666 0.334 0.500
O: 0.063 0.388 0.689
O: 0.245 0.245 0.310
O: 0.388 0.063 0.689
O: 0.612 0.937 0.311
O: 0.755 0.755 0.690
O: 0.937 0.612 0.311

Output
**Formation energy from raw total energies**: -1.301 eV per atom
**Calculated density**: 5.3 g/cm3
**DOS at the Fermi energy**: 0.00 states/eV per cell
**Magnetic moment**: 0.0 μB/f.u.
**VASP energy**: -6.00 eV/atom

5.
Computed, not measured: an optimized crystal structure of Na2GeRuO at the PBE level of DFT.

Cell lengths 4.145, 4.145, 4.738 Å; angles 90.00, 90.00, 90.00 degrees
Fractional positions:
Na: 0.000 0.500 0.000
Na: 0.500 0.000 0.000
Ge: 0.000 0.000 0.500
Ru: 0.500 0.500 0.500
O: 0.000 0.000 0.000

Output
**Formation energy from raw total energies**: 0.049 eV per atom
**Calculated density**: 4.8 g/cm3
**DOS at the Fermi energy**: 7.59 states/eV per cell
**Magnetic moment**: 1.5 μB/f.u.
**VASP energy**: -4.25 eV/atom

6.
Computed, not measured: an optimized crystal structure of Na2GeRuO4 at the PBE level of DFT.

Cell lengths 5.851, 5.851, 6.223 Å; angles 90.00, 90.00, 90.00 degrees
Fractional positions:
Na: 0.000 0.000 0.000
Na: 0.000 0.500 0.250
Na: 0.500 0.000 0.750
Na: 0.500 0.500 0.500
Ge: 0.000 0.500 0.750
Ge: 0.500 0.000 0.250
Ru: 0.000 0.000 0.500
Ru: 0.500 0.500 0.000
O: 0.152 0.308 0.574
O: 0.192 0.652 0.926
O: 0.308 0.848 0.426
O: 0.348 0.192 0.074
O: 0.652 0.808 0.074
O: 0.692 0.152 0.426
O: 0.808 0.348 0.926
O: 0.848 0.692 0.574

Output
**Formation energy from raw total energies**: -1.230 eV per atom
**Calculated density**: 4.4 g/cm3
**DOS at the Fermi energy**: 3.58 states/eV per cell
**Magnetic moment**: 2.0 μB/f.u.
**VASP energy**: -5.78 eV/atom

7.
Computed, not measured: an optimized crystal structure of NaGeRuO4 at the PBE level of DFT.

Cell lengths 5.272, 5.272, 6.754 Å; angles 90.00, 90.00, 117.60 degrees
Fractional positions:
Na: 0.171 0.829 0.750
Na: 0.829 0.171 0.250
Ge: 0.166 0.834 0.250
Ge: 0.834 0.166 0.750
Ru: 0.500 0.500 0.000
Ru: 0.500 0.500 0.500
O: 0.224 0.297 0.750
O: 0.279 0.721 0.039
O: 0.279 0.721 0.461
O: 0.297 0.224 0.250
O: 0.703 0.776 0.750
O: 0.721 0.279 0.539
O: 0.721 0.279 0.961
O: 0.776 0.703 0.250

Output
**Formation energy from raw total energies**: -1.230 eV per atom
**Calculated density**: 5.2 g/cm3
**DOS at the Fermi energy**: 4.94 states/eV per cell
**Magnetic moment**: 1.0 μB/f.u.
**VASP energy**: -6.24 eV/atom

8.
Computed, not measured: an optimized crystal structure of Na2GeS3O7 at the PBE level of DFT.

Cell lengths 6.772, 9.204, 9.277 Å; angles 116.22, 100.43, 101.02 degrees
Fractional positions:
Na: 0.099 0.473 0.198
Na: 0.342 0.465 0.634
Na: 0.658 0.535 0.366
Na: 0.901 0.527 0.802
Ge: 0.328 0.858 0.820
Ge: 0.672 0.142 0.180
S: 0.193 0.243 0.836
S: 0.221 0.869 0.557
S: 0.293 0.084 0.082
S: 0.707 0.916 0.918
S: 0.779 0.131 0.443
S: 0.807 0.757 0.164
O: 0.001 0.750 0.483
O: 0.052 0.346 0.888
O: 0.213 0.674 0.811
O: 0.280 0.253 0.079
O: 0.373 0.611 0.463
O: 0.384 0.777 0.472
O: 0.388 0.328 0.822
O: 0.612 0.672 0.178
O: 0.616 0.223 0.528
O: 0.627 0.389 0.537
O: 0.720 0.747 0.921
O: 0.787 0.326 0.189
O: 0.948 0.654 0.112
O: 0.999 0.250 0.517

Output
**Formation energy from raw total energies**: -0.955 eV per atom
**Calculated density**: 2.2 g/cm3
**Magnetic moment**: 0.0 μB/f.u.
**VASP energy**: -5.14 eV/atom